The following is a meta-GGA SCAN calculation of HfAsPb2I at its PBEsol-relaxed geometry, from Alexandria via LeMat-Bulk.

Lattice parameters (Å, degrees): 5.1899 5.8262 5.8262 90.00 90.00 90.00
Closest atoms and distances in Å follow each position.
Positions (direct):
Pb 0.0000 0.0000 0.5000  2 I 2.91
Pb 0.0000 0.5000 0.0000  2 I 2.91
I 0.0000 0.0000 0.0000  2 Hf 2.59
As 0.5000 0.5000 0.5000  8 Pb 3.90, 4 Hf 4.12
Hf 0.5000 0.0000 0.0000  2 I 2.59

The energy relative to the elements, uncorrected comes out at 6.71 eV per formula unit. The calculation puts the density of states at the Fermi level at 0.89 states/eV/atom. The size of the total moment comes out at 0.000 μB per cell. Its total energy is -264.46 eV per formula unit. As for the space group: P4/mmm (123).

***

The following is a meta-GGA SCAN calculation of IrRuPb at its PBEsol-relaxed geometry, from Alexandria via LeMat-Bulk.

Lattice parameters (Å, degrees): 4.3453 4.3453 4.3453 60.00 60.00 60.00
Closest atoms and distances in Å follow each position.
Positions (direct):
Ir 0.5000 0.5000 0.5000  4 Pb 2.66
Pb 0.2500 0.2500 0.2500  4 Ir 2.66, 4 Ru 2.66
Ru 0.0000 0.0000 0.0000  4 Pb 2.66

The calculation puts the density of states at the Fermi level at 1.25 states/eV/atom. The size of the total moment comes out at 1.433 μB per cell. Its total energy is -178.36 eV per formula unit. The value obtained for the formation enthalpy at 0 K is 1116 meV/atom. As for the space group: F-43m (216).

***

The following is a meta-GGA SCAN calculation of La6CrSi2S14 at its PBEsol-relaxed geometry, from Alexandria via LeMat-Bulk.

Lattice parameters (Å, degrees): 5.6817 10.2111 10.2111 120.00 90.00 90.00
Closest atoms and distances in Å follow each position.
Positions (direct):
La 0.7507 0.7665 0.1238  8 S 2.82-3.15
La 0.7507 0.3573 0.2335  8 S 2.82-3.15
La 0.7507 0.8762 0.6427  8 S 2.82-3.15
La 0.2441 0.2313 0.8743  8 S 2.83-3.05
La 0.2441 0.6431 0.7687  8 S 2.83-3.05
La 0.2441 0.1257 0.3569  8 S 2.83-3.05
Cr 0.5079 0.0000 0.0000  6 S 2.52-2.53
Si 0.1690 0.6667 0.3333  4 S 2.10-2.14
Si 0.6605 0.3333 0.6667  4 S 2.10-2.14
S 0.5379 0.6667 0.3333  1 Si 2.10
S 0.0300 0.3333 0.6667  1 Si 2.10
S 0.2719 0.8450 0.0837  1 Cr 2.53, 1 La 2.83
S 0.2719 0.2387 0.1550  1 Cr 2.53, 1 La 2.83
S 0.2719 0.9163 0.7613  1 Cr 2.53, 1 La 2.83
S 0.7426 0.1570 0.9189  1 Cr 2.52, 1 La 2.82
S 0.7426 0.7619 0.8430  1 Cr 2.52, 1 La 2.82
S 0.7426 0.0811 0.2381  1 Cr 2.52, 1 La 2.82
S 0.0284 0.8875 0.4096  1 Si 2.14
S 0.0284 0.5222 0.1125  1 Si 2.14
S 0.0284 0.5904 0.4778  1 Si 2.14
S 0.5218 0.1119 0.5879  1 Si 2.14
S 0.5218 0.4761 0.8881  1 Si 2.14
S 0.5218 0.4121 0.5239  1 Si 2.14

The energy relative to the elements, uncorrected comes out at -45.43 eV per formula unit. The calculation puts the density of states at the Fermi level at 0.28 states/eV/atom. The size of the total moment comes out at 4.013 μB per cell. Its total energy is -477.27 eV per formula unit. As for the space group: P3 (143).

***

The following is a meta-GGA SCAN calculation of AgMo2As at its PBEsol-relaxed geometry, from Alexandria via LeMat-Bulk.

Lattice parameters (Å, degrees): 2.7792 2.7792 8.6015 90.00 90.00 108.79
Closest atoms and distances in Å follow each position.
Positions (direct):
Mo 0.0000 0.0000 0.2293  2 As 2.55, 4 Mo 2.78, 2 Ag 2.84
Mo 0.0000 0.0000 0.7707  2 As 2.55, 4 Mo 2.78, 2 Ag 2.84
As 0.5000 0.5000 0.0000  4 Mo 2.55, 4 As 2.78
Ag 0.5000 0.5000 0.5000  4 Ag 2.78, 4 Mo 2.84

The calculation puts the density of states at the Fermi level at 0.76 states/eV/atom. The size of the total moment comes out at 0.000 μB per cell. Its total energy is -119.32 eV per formula unit. The value obtained for the formation enthalpy at 0 K is 502 meV/atom. As for the space group: Cmmm (65).

***

The following is a meta-GGA SCAN calculation of TaBeCu2 at its PBEsol-relaxed geometry, from Alexandria via LeMat-Bulk.

Lattice parameters (Å, degrees): 3.6146 3.6146 3.8456 90.00 90.00 90.00
Closest atoms and distances in Å follow each position.
Positions (direct):
Be 0.0000 0.0000 0.5000  4 Ta 2.56, 8 Cu 2.64
Cu 0.0000 0.5000 0.0000  4 Cu 2.56, 4 Ta 2.64, 4 Be 2.64
Cu 0.5000 0.0000 0.0000  4 Cu 2.56, 4 Ta 2.64, 4 Be 2.64
Ta 0.5000 0.5000 0.5000  4 Be 2.56, 8 Cu 2.64

The calculation puts the density of states at the Fermi level at 0.90 states/eV/atom. The size of the total moment comes out at 0.000 μB per cell. Its total energy is -100.40 eV per formula unit. The value obtained for the formation enthalpy at 0 K is 235 meV/atom. As for the space group: P4/mmm (123).

***

The following is a meta-GGA SCAN calculation of CrCdN3 at its PBEsol-relaxed geometry, from Alexandria via LeMat-Bulk.

Lattice parameters (Å, degrees): 3.7425 3.7425 3.7425 90.00 90.00 90.00
Closest atoms and distances in Å follow each position.
Positions (direct):
Cr 0.0000 0.0000 0.0000  6 N 1.87
N 0.0000 0.5000 0.0000  2 Cr 1.87
N 0.0000 0.0000 0.5000  2 Cr 1.87
N 0.5000 0.0000 0.0000  2 Cr 1.87
Cd 0.5000 0.5000 0.5000  12 N 2.65

The energy relative to the elements, uncorrected comes out at 3.27 eV per formula unit. The calculation puts the density of states at the Fermi level at 0.48 states/eV/atom. The size of the total moment comes out at 0.000 μB per cell. Its total energy is -73.40 eV per formula unit. As for the space group: Pm-3m (221).

***

The following is a meta-GGA SCAN calculation of TlAsRhBr2 at its PBEsol-relaxed geometry, from Alexandria via LeMat-Bulk.

Lattice parameters (Å, degrees): 4.5877 5.2757 5.2757 90.00 90.00 90.00
Closest atoms and distances in Å follow each position.
Positions (direct):
Tl 0.5000 0.5000 0.5000  8 Br 3.50, 4 As 3.73
Rh 0.0000 0.0000 0.0000  2 As 2.29
As 0.5000 0.0000 0.0000  2 Rh 2.29
Br 0.0000 0.0000 0.5000  2 Rh 2.64
Br 0.0000 0.5000 0.0000  2 Rh 2.64

The energy relative to the elements, uncorrected comes out at -0.88 eV per formula unit. The calculation puts the density of states at the Fermi level at 0.50 states/eV/atom. The size of the total moment comes out at 0.001 μB per cell. Its total energy is -166.12 eV per formula unit. As for the space group: P4/mmm (123).

***

The following is a meta-GGA SCAN calculation of MgTaTl2 at its PBEsol-relaxed geometry, from Alexandria via LeMat-Bulk.

Lattice parameters (Å, degrees): 3.1309 5.1663 5.1663 90.00 90.00 90.00
Closest atoms and distances in Å follow each position.
Positions (direct):
Mg 0.5000 0.5000 0.5000  8 Tl 3.02, 2 Mg 3.13
Ta 0.5000 0.0000 0.0000  8 Tl 3.02, 2 Ta 3.13
Tl 0.0000 0.0000 0.5000  4 Ta 3.02, 4 Mg 3.02, 2 Tl 3.13
Tl 0.0000 0.5000 0.0000  4 Ta 3.02, 4 Mg 3.02, 2 Tl 3.13

The calculation puts the density of states at the Fermi level at 0.51 states/eV/atom. The size of the total moment comes out at 0.000 μB per cell. Its total energy is -214.72 eV per formula unit. The value obtained for the formation enthalpy at 0 K is 389 meV/atom. As for the space group: P4/mmm (123).

***

The following is a meta-GGA SCAN calculation of LiNbFeO4 at its PBEsol-relaxed geometry, from Alexandria via LeMat-Bulk.

Lattice parameters (Å, degrees): 5.9118 6.0565 6.0565 61.19 60.79 60.79
Closest atoms and distances in Å follow each position.
Positions (direct):
Li 0.6106 0.1394 0.6394  4 O 2.00-2.02
Li 0.8894 0.3606 0.8606  4 O 2.00-2.02
Nb 0.2224 0.7500 0.7500  6 O 1.98-2.12
Nb 0.2776 0.2500 0.2500  6 O 1.98-2.12
Fe 0.7500 0.7462 0.2538  6 O 2.03-2.16
Fe 0.2500 0.7538 0.2462  6 O 2.03-2.16
O 0.4805 0.5415 0.4948  1 Nb 2.00, 1 Li 2.02, 2 Fe 2.03-2.05
O 0.4832 0.9948 0.0415  1 Nb 2.00, 1 Li 2.02, 2 Fe 2.03-2.05
O 0.0194 0.5052 0.4585  1 Nb 2.00, 1 Li 2.02, 2 Fe 2.03-2.05
O 0.0168 0.9585 0.0052  1 Nb 2.00, 1 Li 2.02, 2 Fe 2.03-2.05
O 0.4760 0.9933 0.5092  2 Nb 1.98-2.12, 1 Li 2.00, 1 Fe 2.16
O 0.0215 0.0092 0.4933  2 Nb 1.98-2.12, 1 Li 2.00, 1 Fe 2.16
O 0.0240 0.4908 0.0067  2 Nb 1.98-2.12, 1 Li 2.00, 1 Fe 2.16
O 0.4785 0.5067 0.9908  2 Nb 1.98-2.12, 1 Li 2.00, 1 Fe 2.16

The energy relative to the elements, uncorrected comes out at -15.59 eV per formula unit. The calculation puts the density of states at the Fermi level at 0.28 states/eV/atom. The size of the total moment comes out at 7.992 μB per cell. The value obtained for the excess energy over the best structure of this formula in the dataset is 22 meV per atom. Its total energy is -94.16 eV per formula unit. As for the space group: I2_12_12_1 (24).

***

The following is a meta-GGA SCAN calculation of Tb4SiBr6 at its PBEsol-relaxed geometry, from Alexandria via LeMat-Bulk.

Lattice parameters (Å, degrees): 3.9964 13.1708 13.8270 90.00 90.00 90.00
Closest atoms and distances in Å follow each position.
Positions (direct):
Tb 0.5000 0.1209 0.3420  1 Si 2.70, 5 Br 2.87-2.93
Tb 0.5000 0.8791 0.6580  1 Si 2.70, 5 Br 2.87-2.93
Tb 0.5000 0.6209 0.1580  1 Si 2.70, 5 Br 2.87-2.93
Tb 0.5000 0.3791 0.8420  1 Si 2.70, 5 Br 2.87-2.93
Tb 0.0000 0.1168 0.5812  2 Si 2.76, 4 Br 2.93
Tb 0.0000 0.8832 0.4188  2 Si 2.76, 4 Br 2.93
Tb 0.0000 0.6168 0.9188  2 Si 2.76, 4 Br 2.93
Tb 0.0000 0.3832 0.0812  2 Si 2.76, 4 Br 2.93
Si 0.5000 0.0000 0.5000  6 Tb 2.70-2.76
Si 0.5000 0.5000 0.0000  6 Tb 2.70-2.76
Br 0.5000 0.2492 0.1685  3 Tb 2.93
Br 0.5000 0.7508 0.8315  3 Tb 2.93
Br 0.5000 0.7492 0.3315  3 Tb 2.93
Br 0.5000 0.2508 0.6685  3 Tb 2.93
Br 0.0000 0.2562 0.4160  3 Tb 2.87-2.93
Br 0.0000 0.7438 0.5840  3 Tb 2.87-2.93
Br 0.0000 0.7562 0.0840  3 Tb 2.87-2.93
Br 0.0000 0.2438 0.9160  3 Tb 2.87-2.93
Br 0.0000 0.0053 0.2419  3 Tb 2.87-2.93
Br 0.0000 0.9947 0.7581  3 Tb 2.87-2.93
Br 0.0000 0.5053 0.2581  3 Tb 2.87-2.93
Br 0.0000 0.4947 0.7419  3 Tb 2.87-2.93

The energy relative to the elements, uncorrected comes out at -19.34 eV per formula unit. The calculation puts the density of states at the Fermi level at 0.30 states/eV/atom. The size of the total moment comes out at 0.000 μB per cell. Its total energy is -333.16 eV per formula unit. As for the space group: Pbam (55).

***

The following is a meta-GGA SCAN calculation of CsAu3Se at its PBEsol-relaxed geometry, from Alexandria via LeMat-Bulk.

Lattice parameters (Å, degrees): 5.5326 5.5326 5.5326 90.00 90.00 90.00
Closest atoms and distances in Å follow each position.
Positions (direct):
Cs 0.0000 0.0000 0.0000  6 Au 2.77
Au 0.0000 0.5000 0.0000  2 Cs 2.77
Au 0.0000 0.0000 0.5000  2 Cs 2.77
Au 0.5000 0.0000 0.0000  2 Cs 2.77
Se 0.5000 0.5000 0.5000  12 Au 3.91

The energy relative to the elements, uncorrected comes out at 8.20 eV per formula unit. The calculation puts the density of states at the Fermi level at 0.69 states/eV/atom. The size of the total moment comes out at 0.000 μB per cell. Its total energy is -257.16 eV per formula unit. As for the space group: Pm-3m (221).

***

The following is a meta-GGA SCAN calculation of K2LaCu at its PBEsol-relaxed geometry, from Alexandria via LeMat-Bulk.

Lattice parameters (Å, degrees): 4.1435 4.1681 11.8561 99.46 90.00 119.81
Closest atoms and distances in Å follow each position.
Positions (direct):
Cu 0.7587 0.5173 0.2799  3 La 2.82
K 0.0309 0.0618 0.0856  3 Cu 3.30
K 0.2444 0.4887 0.7281  6 K 4.14-4.17, 3 La 4.41-4.47
La 0.4661 0.9321 0.4064  3 Cu 2.82

The calculation puts the density of states at the Fermi level at 0.79 states/eV/atom. The size of the total moment comes out at 0.049 μB per cell. The value obtained for the excess energy over the best structure of this formula in the dataset is 60 meV per atom. Its total energy is -74.07 eV per formula unit. The value obtained for the formation enthalpy at 0 K is 222 meV/atom. As for the space group: Cm (8).

***

> size of the total moment of number 2 (IrRuPb)?

1.433 μB per cell